Record 1
## BaSc2Tl (PBE)

Data for a relaxed BaSc2Tl crystal.

Calculated values
Total magnetic moment   0.09 μB per atom
Calculated formation energy   0.42 eV per formula unit
Total DFT energy (no corrections)   -4.133 eV per atom
Fermi-level density of states   5.71 states/eV/cell
Offset from the most stable computed form   129.0 meV per atom

Cell lengths 3.6362, 5.1869, 6.7810 Å; angles 90.00, 102.27, 90.00 degrees
Space group P2/m (No. 10)
Inequivalent atoms, fractional coordinates:
Ba1 0.0000 0.0000 0.0000
Sc1 0.3286 0.5000 0.6969
Tl1 0.5000 0.0000 0.5000

=====

Record 2
## BaSc2Tl (PBE)

Data for a relaxed BaSc2Tl crystal.

Calculated values
Total magnetic moment   0.00 μB per atom
Calculated formation energy   1.58 eV per formula unit
Total DFT energy (no corrections)   -3.842 eV per atom
Fermi-level density of states   11.70 states/eV/cell
Offset from the most stable computed form   419.9 meV per atom

Cell lengths 3.4996, 3.4996, 36.4292 Å; angles 90.00, 90.00, 120.00 degrees
Space group R-3m (No. 166, hexagonal axes)
Inequivalent atoms, fractional coordinates:
Ba1 0.0000 0.0000 0.0000
Sc1 0.0000 0.0000 0.4175
Tl1 0.0000 0.0000 0.5000

=====

Record 3
## BaSc2Tl (PBE)

Data for a relaxed BaSc2Tl crystal.

Calculated values
Total magnetic moment   0.22 μB per atom
Calculated formation energy   0.99 eV per formula unit
Total DFT energy (no corrections)   -3.991 eV per atom
Fermi-level density of states   31.12 states/eV/cell
Offset from the most stable computed form   270.8 meV per atom

Cell lengths 3.4883, 3.4883, 34.5391 Å; angles 90.00, 90.00, 120.00 degrees
Space group R-3m (No. 166, hexagonal axes)
Inequivalent atoms, fractional coordinates:
Ba1 0.0000 0.0000 0.0000
Sc1 0.0000 0.0000 0.0983
Tl1 0.0000 0.0000 0.5000

=====

Question: Which value of offset from the most stable computed form does entry 3 give?
Answer: 270.8 meV per atom